Compound: Mn7Ge3H2
Source: Alexandria via LeMat-Bulk
Functional: PBE
Structure: optimized geometry

**Total energy**: -7.17 eV/atom

Cell: 3.6791 19.0667 3.7014 Å, 90.00 90.00 90.00°
Space group Cmmm (No. 65)
Unique sites:
Mn 0.0000 0.0000 0.0000 x2
Mn 0.0000 0.0957 0.5000 x4
Mn 0.0000 0.2003 0.0000 x4
Mn 0.0000 0.4031 0.0000 x4
Ge 0.0000 0.3103 0.5000 x4
Ge 0.0000 0.5000 0.5000 x2
H 0.0000 0.0977 0.0000 x4